A geometry-optimized LiNb2O structure. Source: Alexandria, functional GGA-PBE.

a = 5.151 Å, b = 5.151 Å, c = 6.635 Å
α = 67.16°, β = 67.16°, γ = 90.00°
Atoms (fractional coordinates):
Nb: 0.746 0.125 0.250
Nb: 0.004 0.625 0.250
Nb: 0.375 0.254 0.750
Nb: 0.875 0.996 0.750
O: 0.000 0.000 0.000
O: 0.750 0.250 0.500
Li: 0.500 0.500 0.000
Li: 0.250 0.750 0.500

Summary:
As for the total energy: -54.831 eV for the cell shown. For the uncorrected formation energy, the calculation gives -0.1009 eV/atom. Its space group is I-42d (122).

***

A geometry-optimized RbNa2SiPt structure. Source: Alexandria, functional GGA-PBE.

a = 5.645 Å, b = 5.645 Å, c = 4.620 Å
α = 90.00°, β = 90.00°, γ = 90.00°
Atoms (fractional coordinates):
Na: 0.000 0.500 0.000
Na: 0.500 0.000 0.000
Si: 0.000 0.000 0.500
Rb: 0.500 0.500 0.500
Pt: 0.000 0.000 0.000

Summary:
As for the total energy: -16.157 eV for the cell shown. For the uncorrected formation energy, the calculation gives -0.2174 eV/atom. Its space group is P4/mmm (123).

***

A geometry-optimized Sc2AgPb2 structure. Source: Alexandria, functional GGA-PBE.

a = 8.491 Å, b = 8.491 Å, c = 3.471 Å
α = 90.00°, β = 90.00°, γ = 90.00°
Last column: magnetic moment on the atom in μB.
Atoms (fractional coordinates):
Pb: 0.176 0.676 0.500  -0.01
Pb: 0.676 0.824 0.500  -0.01
Pb: 0.824 0.324 0.500  -0.01
Pb: 0.324 0.176 0.500  -0.01
Sc: 0.371 0.871 0.000  0.12
Sc: 0.871 0.629 0.000  0.14
Sc: 0.629 0.129 0.000  0.12
Sc: 0.129 0.371 0.000  0.14
Ag: 0.000 0.000 0.000  0.01
Ag: 0.500 0.500 0.000  0.01

Summary:
As for the total energy: -46.652 eV for the cell shown. The formation energy is -0.08 eV per atom. Its space group is P4/mbm (127).

***

A geometry-optimized PmYSb structure. Source: Alexandria, functional GGA-PBE.

a = 4.210 Å, b = 7.836 Å, c = 7.836 Å
α = 121.40°, β = 74.42°, γ = 74.42°
Atoms (fractional coordinates):
Pm: 0.000 0.811 0.189
Pm: 0.000 0.189 0.811
Sb: 0.500 0.640 0.360
Sb: 0.500 0.360 0.640
Y: 0.757 0.743 0.743
Y: 0.243 0.257 0.257

Summary:
As for the total energy: -35.205 eV for the cell shown. For the uncorrected formation energy, the calculation gives -0.7551 eV/atom. Its space group is Immm (71).

***

A geometry-optimized ScTiHg2 structure. Source: Alexandria, functional GGA-PBE.

a = 3.527 Å, b = 3.527 Å, c = 6.574 Å
α = 90.00°, β = 90.00°, γ = 90.00°
Last column: magnetic moment on the atom in μB.
Atoms (fractional coordinates):
Sc: 0.500 0.500 0.500  0.11
Hg: 0.000 0.000 0.758  0.00
Hg: 0.000 0.000 0.242  0.00
Ti: 0.500 0.500 0.000  0.89

Summary:
As for the total energy: -15.577 eV for the cell shown. The formation energy is -0.19 eV per atom. Its space group is P4/mmm (123).

***

A geometry-optimized KMn2Cl4 structure. Source: Alexandria, functional GGA-PBE.

a = 6.548 Å, b = 6.548 Å, c = 6.548 Å
α = 101.32°, β = 101.32°, γ = 127.39°
Last column: magnetic moment on the atom in μB.
Atoms (fractional coordinates):
K: 0.500 0.500 0.000  0.00
Mn: 0.250 0.750 0.500  3.99
Mn: 0.750 0.250 0.500  3.99
Cl: 0.323 0.152 0.475  0.06
Cl: 0.848 0.323 0.172  0.06
Cl: 0.152 0.677 0.828  0.06
Cl: 0.677 0.848 0.525  0.06

Summary:
As for the total energy: -34.317 eV for the cell shown. For the uncorrected formation energy, the calculation gives -1.0705 eV/atom. Its space group is I4/m (87).

***

A geometry-optimized HoZnRu structure. Source: Alexandria, functional GGA-PBE.

a = 5.335 Å, b = 5.335 Å, c = 5.335 Å
α = 90.45°, β = 120.92°, γ = 118.57°
Atoms (fractional coordinates):
Ho: 0.250 0.118 0.868
Ho: 0.750 0.882 0.132
Zn: 0.500 0.500 0.500
Zn: 0.000 0.500 0.000
Ru: 0.000 0.500 0.500
Ru: 0.500 0.000 0.500

Summary:
As for the total energy: -32.536 eV for the cell shown. The formation energy is -0.38 eV per atom. Its space group is Imma (74).

***

A geometry-optimized KLi2Zn structure. Source: Alexandria, functional GGA-PBE.

a = 3.851 Å, b = 5.448 Å, c = 5.388 Å
α = 90.00°, β = 90.00°, γ = 90.00°
Atoms (fractional coordinates):
K: 0.000 0.500 0.500
Li: 0.000 0.000 0.000
Li: 0.500 0.500 0.000
Zn: 0.500 0.000 0.500

Summary:
As for the total energy: -5.332 eV for the cell shown. The formation energy is 0.22 eV per atom. Its space group is Pmmm (47).

***

Q: Which value of total energy does entry 1 give?
A: -54.831 eV for the cell shown